Here is crystalline LiErMg2Au4 at its relaxed geometry from the Open Quantum Materials Database. Energies are from PBE.

a = 4.756 Å, b = 4.756 Å, c = 6.679 Å
α = 90.00°, β = 90.00°, γ = 90.00°
Sites, in units of the cell vectors:
1 Au 0.500 0.000 0.267
2 Au 0.000 0.500 0.267
3 Au 0.500 0.000 0.733
4 Au 0.000 0.500 0.733
5 Er 0.000 0.000 0.000
6 Li 0.500 0.500 0.500
7 Mg 0.500 0.500 0.000
8 Mg 0.000 0.000 0.500

The calculation puts the electronic total energy at -3.501 eV/atom.

Here is crystalline ErLuAu at its relaxed geometry from the Open Quantum Materials Database. Energies are from PBE.

a = 4.868 Å, b = 4.868 Å, c = 4.868 Å
α = 60.00°, β = 60.00°, γ = 60.00°
Sites, in units of the cell vectors:
1 Au 0.000 0.000 0.000
2 Er 0.250 0.250 0.250
3 Lu 0.750 0.750 0.750

The calculation puts the electronic total energy at -4.602 eV/atom. Its polymorph energy (0 for the lowest one) is 0.000 eV/atom. The formation enthalpy at 0 K is -0.4846 eV/atom.

Here is crystalline ErLuAu6 at its relaxed geometry from the Open Quantum Materials Database. Energies are from PBE.

a = 5.003 Å, b = 6.096 Å, c = 5.116 Å
α = 90.00°, β = 90.00°, γ = 90.00°
Sites, in units of the cell vectors:
1 Au 0.500 0.500 0.165
2 Au 0.000 0.243 0.337
3 Au 0.000 0.757 0.337
4 Au 0.500 0.252 0.662
5 Au 0.500 0.748 0.662
6 Au 0.000 0.000 0.838
7 Er 0.000 0.500 0.843
8 Lu 0.500 0.000 0.156

The calculation puts the electronic total energy at -4.314 eV/atom. The formation enthalpy at 0 K is -0.7282 eV/atom.

Here is crystalline ErLuAu4 at its relaxed geometry from the Open Quantum Materials Database. Energies are from PBE.

a = 3.690 Å, b = 3.690 Å, c = 8.981 Å
α = 90.00°, β = 90.00°, γ = 90.00°
Sites, in units of the cell vectors:
1 Au 0.000 0.000 0.163
2 Au 0.500 0.500 0.334
3 Au 0.500 0.500 0.666
4 Au 0.000 0.000 0.837
5 Er 0.000 0.000 0.500
6 Lu 0.500 0.500 0.000

The calculation puts the electronic total energy at -4.581 eV/atom. The formation enthalpy at 0 K is -0.8886 eV/atom.